Run one
## AgClF2 (GGA-PBE)

Data for an optimized crystal structure of AgClF2.

extended XYZ file:
```
8
Lattice="4.003 0.000 0.000 -1.051 6.135 0.000 -1.263 -1.782 7.565" Properties=species:S:1:pos:R:3 pbc="T T T"
Ag 0.101 0.653 3.757
Ag 1.588 3.701 3.808
Cl 0.468 5.576 0.670
Cl 1.221 -1.222 6.895
F -0.834 4.821 2.891
F -0.009 2.565 4.685
F 1.698 1.788 2.880
F 2.523 -0.468 4.674
```

magnetization = 0.0 μB/cell
crystal system = triclinic
DOS(E_F) = 3.83 states/eV per cell
SG = No. 2

---

Run two
## AgClF2 (GGA-PBE)

Data for an optimized crystal structure of AgClF2.

extended XYZ file:
```
12
Lattice="3.871 0.000 0.000 -1.936 3.353 0.000 0.000 0.000 18.234" Properties=species:S:1:pos:R:3 pbc="T T T"
Ag 0.000 0.000 0.000
Ag 0.000 2.235 12.156
Ag 1.936 1.118 6.078
Cl 0.000 0.000 9.117
Cl 0.000 2.235 3.039
Cl 1.936 1.118 15.195
F 0.000 0.000 7.199
F 0.000 0.000 11.035
F 0.000 2.235 1.121
F 0.000 2.235 4.957
F 1.936 1.118 13.277
F 1.936 1.118 17.112
```

magnetization = 0.0 μB/cell
crystal system = trigonal
DOS(E_F) = 0.00 states/eV per cell
SG = No. 166

---

Run three
## AgClF2 (GGA-PBE)

Data for an optimized crystal structure of AgClF2.

extended XYZ file:
```
16
Lattice="4.296 0.000 0.000 0.000 4.296 0.000 0.000 0.000 14.830" Properties=species:S:1:pos:R:3 pbc="T T T"
Ag 0.000 0.000 0.000
Ag 0.000 2.148 3.707
Ag 2.148 0.000 11.122
Ag 2.148 2.148 7.415
Cl 0.000 0.000 7.415
Cl 0.000 2.148 11.122
Cl 2.148 0.000 3.707
Cl 2.148 2.148 0.000
F 0.819 1.074 1.854
F 1.074 2.967 5.561
F 1.074 3.476 12.976
F 1.329 1.074 9.269
F 2.967 3.222 9.269
F 3.222 0.819 12.976
F 3.222 1.329 5.561
F 3.476 3.222 1.854
```

magnetization = 8.0 μB/cell
crystal system = tetragonal
DOS(E_F) = 8.05 states/eV per cell
SG = No. 122

---

Most stable of them? run one.

---

Run one
## Ag2Cl3F (GGA-PBE)

Data for an optimized crystal structure of Ag2Cl3F.

extended XYZ file:
```
12
Lattice="9.565 -1.904 0.000 9.565 1.904 0.000 -0.176 0.000 8.913" Properties=species:S:1:pos:R:3 pbc="T T T"
Ag 1.165 0.000 1.119
Ag 5.980 0.000 5.354
Ag 12.975 0.000 3.559
Ag 17.790 0.000 7.794
Cl 1.083 0.000 7.580
Cl 5.328 0.000 3.037
Cl 8.396 0.000 4.819
Cl 10.559 0.000 4.094
Cl 13.626 0.000 5.876
Cl 17.871 0.000 1.333
F 6.801 0.000 7.302
F 12.154 0.000 1.611
```

magnetization = 0.4 μB/cell
crystal system = monoclinic
DOS(E_F) = 10.33 states/eV per cell
SG = No. 12

---

Run two
## Ag2Cl3F (GGA-PBE)

Data for an optimized crystal structure of Ag2Cl3F.

extended XYZ file:
```
24
Lattice="6.537 0.000 0.000 0.000 15.040 0.000 -1.892 0.000 6.145" Properties=species:S:1:pos:R:3 pbc="T T T"
Ag -0.453 0.971 1.615
Ag -1.399 6.550 4.687
Ag 2.386 10.372 1.121
Ag 1.440 12.189 4.194
Ag 3.205 2.852 1.951
Ag 2.259 4.669 5.023
Ag 6.045 8.491 1.458
Ag 5.099 14.070 4.530
Cl -0.489 8.488 5.992
Cl 0.457 14.073 2.920
Cl 1.559 0.940 0.330
Cl 0.613 6.581 3.402
Cl 1.384 2.894 3.523
Cl 2.330 4.627 0.451
Cl 2.315 10.414 5.694
Cl 3.261 12.147 2.621
Cl 4.032 8.460 2.743
Cl 3.086 14.101 5.815
Cl 4.189 0.968 3.225
Cl 5.135 6.552 0.152
F 0.621 10.251 2.301
F -0.325 12.310 5.373
F 4.970 2.730 0.771
F 4.024 4.790 3.844
```

magnetization = 0.0 μB/cell
crystal system = monoclinic
DOS(E_F) = 7.70 states/eV per cell
SG = No. 14

---

Most stable of them? run two.

---

Run one
## AgClF3 (GGA-PBE)

Data for an optimized crystal structure of AgClF3.

extended XYZ file:
```
5
Lattice="4.277 0.000 0.000 0.000 4.277 0.000 0.000 0.000 4.277" Properties=species:S:1:pos:R:3 pbc="T T T"
Ag 0.000 0.000 0.000
Cl 2.138 2.138 2.138
F 0.000 0.000 2.138
F 0.000 2.138 0.000
F 2.138 0.000 0.000
```

magnetization = 1.6 μB/cell
crystal system = cubic
DOS(E_F) = 6.72 states/eV per cell
SG = No. 221

---

Run two
## AgClF3 (GGA-PBE)

Data for an optimized crystal structure of AgClF3.

extended XYZ file:
```
5
Lattice="4.338 0.000 0.000 0.000 4.338 0.000 0.000 0.000 4.338" Properties=species:S:1:pos:R:3 pbc="T T T"
Ag 0.000 0.000 0.000
Cl 2.169 2.169 2.169
F 0.000 2.169 2.169
F 2.169 0.000 2.169
F 2.169 2.169 0.000
```

magnetization = 0.0 μB/cell
crystal system = cubic
DOS(E_F) = 1.33 states/eV per cell
SG = No. 221

---

Most stable of them? run one.

---

Run one
## AgCl2F (GGA-PBE)

Data for an optimized crystal structure of AgCl2F.

extended XYZ file:
```
12
Lattice="4.039 0.000 0.000 -2.020 3.498 0.000 0.000 0.000 20.692" Properties=species:S:1:pos:R:3 pbc="T T T"
Ag 0.000 0.000 0.000
Ag 0.000 2.332 13.795
Ag 2.020 1.166 6.897
Cl 0.000 0.000 8.290
Cl 0.000 0.000 12.402
Cl 0.000 2.332 1.393
Cl 0.000 2.332 5.505
Cl 2.020 1.166 15.188
Cl 2.020 1.166 19.299
F 0.000 0.000 10.346
F 0.000 2.332 3.449
F 2.020 1.166 17.244
```

magnetization = 0.0 μB/cell
crystal system = trigonal
DOS(E_F) = 1.12 states/eV per cell
SG = No. 166

---

Run two
## AgCl2F (GGA-PBE)

Data for an optimized crystal structure of AgCl2F.

extended XYZ file:
```
16
Lattice="5.393 0.000 0.000 0.000 5.393 0.000 0.000 0.000 13.455" Properties=species:S:1:pos:R:3 pbc="T T T"
Ag 0.000 0.000 0.000
Ag 0.000 2.697 3.364
Ag 2.697 0.000 10.091
Ag 2.697 2.697 6.728
Cl 1.322 1.348 1.682
Cl 1.348 4.018 5.046
Cl 1.348 4.071 11.773
Cl 1.375 1.348 8.410
Cl 4.018 4.045 8.410
Cl 4.045 1.322 11.773
Cl 4.045 1.375 5.046
Cl 4.071 4.045 1.682
F 0.000 0.000 6.728
F 0.000 2.697 10.091
F 2.697 0.000 3.364
F 2.697 2.697 0.000
```

magnetization = 8.0 μB/cell
crystal system = tetragonal
DOS(E_F) = 3.39 states/eV per cell
SG = No. 122

---

Run three
## AgCl2F (GGA-PBE)

Data for an optimized crystal structure of AgCl2F.

extended XYZ file:
```
16
Lattice="6.449 0.000 0.000 0.000 6.449 0.000 0.000 0.000 6.449" Properties=species:S:1:pos:R:3 pbc="T T T"
Ag 0.000 0.000 0.000
Ag 0.000 3.225 3.225
Ag 3.225 0.000 3.225
Ag 3.225 3.225 0.000
Cl 1.612 1.612 1.612
Cl 1.612 1.612 4.837
Cl 1.612 4.837 1.612
Cl 1.612 4.837 4.837
Cl 4.837 1.612 1.612
Cl 4.837 1.612 4.837
Cl 4.837 4.837 1.612
Cl 4.837 4.837 4.837
F 0.000 0.000 3.225
F 0.000 3.225 0.000
F 3.225 0.000 0.000
F 3.225 3.225 3.225
```

magnetization = 0.0 μB/cell
crystal system = cubic
DOS(E_F) = 28.79 states/eV per cell
SG = No. 225

---

Most stable of them? run one.